# GGA-PBE Cu2Ag3, relaxed
# Energy relative to the lowest polymorph listed for this composition ... 0.062 eV per atom
# Energy of formation ... 0.094 eV per atom
data_Cu2Ag3
_cell_length_a 8.746
_cell_length_b 3.984
_cell_length_c 8.915
_cell_angle_alpha 90.00
_cell_angle_beta 91.16
_cell_angle_gamma 90.00
_space_group_name_H-M_alt 'C 1 2/m 1'
_space_group_IT_number 12
_space_group_name_Hall '-C 2y'
loop_
_atom_site_label
_atom_site_type_symbol
_atom_site_fract_x
_atom_site_fract_y
_atom_site_fract_z
Cu1 Cu 0.103 0.000 0.293
Cu2 Cu 0.199 0.500 0.099
Ag1 Ag 0.000 0.000 0.000
Ag2 Ag 0.000 0.500 0.500
Ag3 Ag 0.102 0.500 0.807
Ag4 Ag 0.202 0.000 0.607

# GGA-PBE ZrTaBi2, relaxed
# Total energy ... -6.657 eV/atom
data_ZrTaBi2
_cell_length_a 7.264
_cell_length_b 7.264
_cell_length_c 7.264
_cell_angle_alpha 90.00
_cell_angle_beta 90.00
_cell_angle_gamma 90.00
_space_group_name_H-M_alt 'F -4 3 m'
_space_group_IT_number 216
_space_group_name_Hall 'F -4 2 3'
loop_
_atom_site_label
_atom_site_type_symbol
_atom_site_fract_x
_atom_site_fract_y
_atom_site_fract_z
Zr1 Zr 0.000 0.000 0.000
Ta1 Ta 0.250 0.250 0.250
Bi1 Bi 0.000 0.000 0.500
Bi2 Bi 0.250 0.250 0.750

# GGA-PBE UPt5, relaxed
# Energy of formation ... -0.546 eV per atom
data_UPt5
_cell_length_a 7.489
_cell_length_b 7.489
_cell_length_c 7.489
_cell_angle_alpha 90.00
_cell_angle_beta 90.00
_cell_angle_gamma 90.00
_space_group_name_H-M_alt 'F -4 3 m'
_space_group_IT_number 216
_space_group_name_Hall 'F -4 2 3'
loop_
_atom_site_label
_atom_site_type_symbol
_atom_site_fract_x
_atom_site_fract_y
_atom_site_fract_z
U1 U 0.000 0.000 0.000
Pt1 Pt 0.125 0.125 0.375
Pt2 Pt 0.250 0.250 0.750

# GGA-PBE La2Ag2TeSeO2, relaxed
# Total energy ... -5.974 eV/atom
data_La2Ag2TeSeO2
_cell_length_a 4.189
_cell_length_b 4.189
_cell_length_c 9.565
_cell_angle_alpha 90.00
_cell_angle_beta 90.00
_cell_angle_gamma 90.00
_space_group_name_H-M_alt 'P 4 m m'
_space_group_IT_number 99
_space_group_name_Hall 'P 4 -2'
loop_
_atom_site_label
_atom_site_type_symbol
_atom_site_fract_x
_atom_site_fract_y
_atom_site_fract_z
La1 La 0.000 0.000 0.000
La2 La 0.500 0.500 0.246
Ag1 Ag 0.000 0.500 0.602
Te1 Te 0.500 0.500 0.809
Se1 Se 0.000 0.000 0.410
O1 O 0.000 0.500 0.122

# GGA-PBE KCdBiS3, relaxed
# Total energy ... -3.746 eV/atom
data_KCdBiS3
_cell_length_a 4.191
_cell_length_b 14.441
_cell_length_c 10.975
_cell_angle_alpha 90.00
_cell_angle_beta 90.00
_cell_angle_gamma 90.00
_space_group_name_H-M_alt 'C m c m'
_space_group_IT_number 63
_space_group_name_Hall '-C 2c 2'
loop_
_atom_site_label
_atom_site_type_symbol
_atom_site_fract_x
_atom_site_fract_y
_atom_site_fract_z
K1 K 0.000 0.241 0.250
Cd1 Cd 0.000 0.041 0.750
Bi1 Bi 0.000 0.500 0.000
S1 S 0.000 0.129 0.553
S2 S 0.000 0.433 0.750

# GGA-PBE YNpTc, relaxed
# Energy relative to the lowest polymorph listed for this composition ... 0.000 eV per atom
# Energy of formation ... 1.087 eV per atom
data_YNpTc
_cell_length_a 6.440
_cell_length_b 6.440
_cell_length_c 6.440
_cell_angle_alpha 90.00
_cell_angle_beta 90.00
_cell_angle_gamma 90.00
_space_group_name_H-M_alt 'F -4 3 m'
_space_group_IT_number 216
_space_group_name_Hall 'F -4 2 3'
loop_
_atom_site_label
_atom_site_type_symbol
_atom_site_fract_x
_atom_site_fract_y
_atom_site_fract_z
Y1 Y 0.000 0.000 0.000
Np1 Np 0.250 0.250 0.750
Tc1 Tc 0.000 0.000 0.500

# GGA-PBE SmEr2TmIn2, relaxed
# Total energy ... -4.307 eV/atom
data_SmEr2TmIn2
_cell_length_a 5.3709
_cell_length_b 5.3709
_cell_length_c 6.7245
_cell_angle_alpha 90.00
_cell_angle_beta 90.00
_cell_angle_gamma 120.00
_space_group_name_H-M_alt 'P -6 m 2'
_space_group_IT_number 187
_space_group_name_Hall 'P -6 2'
loop_
_atom_site_label
_atom_site_type_symbol
_atom_site_fract_x
_atom_site_fract_y
_atom_site_fract_z
Sm1 Sm 0.0000 0.0000 0.0000
Er1 Er 0.6667 0.3333 0.2558
Tm1 Tm 0.3333 0.6667 0.5000
In1 In 0.0000 0.0000 0.5000
In2 In 0.3333 0.6667 0.0000

# GGA-PBE TlCdCuHg, relaxed
# Energy relative to the lowest polymorph listed for this composition ... 0.000 eV per atom
data_TlCdCuHg
_cell_length_a 7.064
_cell_length_b 7.064
_cell_length_c 7.064
_cell_angle_alpha 90.00
_cell_angle_beta 90.00
_cell_angle_gamma 90.00
_space_group_name_H-M_alt 'F -4 3 m'
_space_group_IT_number 216
_space_group_name_Hall 'F -4 2 3'
loop_
_atom_site_label
_atom_site_type_symbol
_atom_site_fract_x
_atom_site_fract_y
_atom_site_fract_z
Tl1 Tl 0.000 0.000 0.000
Cd1 Cd 0.250 0.250 0.750
Cu1 Cu 0.250 0.250 0.250
Hg1 Hg 0.000 0.000 0.500